KLa2In: optimized geometry, PBE-GGA.

The structure belongs to space group R-3m (No. 166, hexagonal axes); the cell edges are 3.8918, 3.8918 and 37.6657 Å and the angles 90.00°, 90.00° and 120.00°. The distinct sites, in fractional coordinates, are K at (0.0000, 0.0000, 0.0000), La at (0.0000, 0.0000, 0.2308) and In at (0.0000, 0.0000, 0.5000).

As for the crystal system: trigonal. For the calculated formation energy, the calculation gives 0.012 eV/atom. The value obtained for the density of states at the Fermi level is 1.1256 states/eV/atom.